Here is a relaxed Ce3B2OsN6 crystal from the Alexandria database. Energies are from PBE.

The formation energy without anion corrections is -0.871 eV per atom.

The space group is P-3m1 (No. 164) and the conventional cell measures 5.2827, 5.2827 and 6.3677 Å, with angles of 90.00, 90.00 and 120.00 degrees. The distinct sites, in fractional coordinates, are Ce at (0.0000, 0.0000, 0.0000), Ce at (0.3333, 0.6667, 0.6659), B at (0.3333, 0.6667, 0.2619), Os at (0.0000, 0.0000, 0.5000) and N at (0.1745, 0.3490, 0.2777).